NaVAg2F6 | PBE+U | optimized geometry

Cell: 5.8208 5.8986 10.1061 Å, 90.00 125.12 90.00°
Space group P2_1/c (No. 14)
Unique sites:
1 Na 0.0000 0.0000 0.0000 x2
2 V 0.5000 0.0000 0.5000 x2
3 Ag 0.2380 0.0439 0.7490 x4
4 F 0.1779 0.1878 0.4524 x4
5 F 0.2615 0.7263 0.4405 x4
6 F 0.3709 0.0399 0.2711 x4

Computed properties:
**E**: -0.34537 Ry per atom
**V**: 284 Å³ per cell
**Total magnetization**: 0.200 μB/atom